Density functional theory data (GGA+U) for a geometry-optimized NaCr4O12 structure.

Cell and atoms, written as extended XYZ:
```
68
Lattice="-4.376 4.376 14.855 4.376 -4.376 14.855 4.376 4.376 -14.855" Properties=species:S:1:pos:R:3 pbc="T T T"
Na 4.376 2.188 -3.714
Na 0.000 2.188 3.714
Na 4.376 2.188 11.141
Na 0.000 2.188 18.569
Cr 1.242 1.038 -1.397
Cr 1.150 -0.946 6.030
Cr 3.134 1.038 1.397
Cr 5.526 -0.946 8.825
Cr 5.526 0.946 6.030
Cr 3.134 -1.038 13.458
Cr 1.150 0.946 8.825
Cr 1.242 -1.038 16.253
Cr 3.134 5.414 -1.397
Cr 3.226 3.430 6.030
Cr 1.242 5.414 1.397
Cr -1.150 3.430 8.825
Cr -1.150 5.322 6.030
Cr 1.242 3.338 13.458
Cr 3.226 5.322 8.825
Cr 3.134 3.338 16.253
O 6.321 1.652 -5.367
O 4.376 -2.188 8.305
O 3.840 -0.243 2.061
O 2.188 0.484 0.000
O 3.840 4.619 -12.794
O 2.217 1.756 -2.451
O 2.431 2.724 -5.367
O 4.808 -0.029 4.977
O 0.432 0.029 4.977
O 2.159 -1.756 12.404
O 4.376 -2.188 13.977
O 1.704 0.000 7.428
O 6.080 0.000 7.428
O 4.376 2.188 0.878
O 2.159 1.756 2.451
O 0.432 -0.029 9.879
O 4.808 0.029 9.879
O 6.807 1.652 5.367
O 2.217 -1.756 17.306
O 3.840 4.133 -2.061
O 2.188 -0.484 14.855
O 3.840 0.243 12.794
O 4.376 2.188 6.550
O 1.945 2.724 5.367
O 2.431 1.652 9.488
O 0.000 2.188 8.305
O 0.536 4.133 2.061
O 2.188 4.860 0.000
O 0.536 0.243 16.916
O 2.159 6.132 -2.451
O -2.431 2.724 9.488
O -0.432 4.347 4.977
O 3.944 4.405 4.977
O 2.217 2.620 12.404
O 0.000 2.188 13.977
O -1.704 4.376 7.428
O 2.672 4.376 7.428
O 0.000 6.564 0.878
O 2.217 6.132 2.451
O 3.944 4.347 9.879
O -0.432 4.405 9.879
O 1.945 1.652 20.222
O 2.159 2.620 17.306
O 0.536 -0.243 27.650
O 2.188 3.892 14.855
O 0.536 4.619 12.794
O 0.000 6.564 6.550
O -1.945 2.724 20.222
```

Computed properties:
N(E_F) ... 6.87 states/eV/cell
Spin magnetization ... 4.0 Bohr magnetons per cell
SG ... I4_1/acd (142)
Final energy ... -6.5225 eV per atom